## RbScAgCl5 (PBE-GGA)

Data for crystalline RbScAgCl5 at its relaxed geometry.

Crystal system = monoclinic
Calculated total energy = -65.59 eV for the cell shown
Energy relative to the elements, uncorrected = -1.68 eV/atom

Cell lengths 7.494, 7.494, 9.774 Å; angles 101.18, 101.18, 110.29 degrees
Positions (direct):
Rb  0.338  0.662  0.250
Rb  0.662  0.338  0.750
Sc  0.000  0.000  0.500
Sc  0.000  0.000  0.000
Ag  0.686  0.314  0.250
Ag  0.314  0.686  0.750
Cl  0.057  0.943  0.250
Cl  0.943  0.057  0.750
Cl  0.905  0.283  0.079
Cl  0.095  0.717  0.921
Cl  0.717  0.095  0.421
Cl  0.283  0.905  0.579
Cl  0.759  0.648  0.439
Cl  0.241  0.352  0.561
Cl  0.352  0.241  0.061
Cl  0.648  0.759  0.939